## NbZnPd2Cl (PBE)

Data for a geometry-optimized NbZnPd2Cl structure.

a = 4.870 Å, b = 4.870 Å, c = 5.301 Å
α = 90.00°, β = 90.00°, γ = 90.00°
Fractional coordinates of all 5 atoms:
Nb1 0.000 0.000 0.000
Zn1 0.000 0.000 0.500
Pd1 0.000 0.500 0.000
Pd2 0.500 0.000 0.000
Cl1 0.500 0.500 0.500

Output
- calculated volume (Å³/cell) = 125.7
- uncorrected formation energy (eV per atom) = 0.921
- density (g cm⁻³) = 5.369


## TbY2Tm6Sc (PBE)

Data for a geometry-optimized TbY2Tm6Sc structure.

a = 9.017 Å, b = 9.017 Å, c = 8.597 Å
α = 90.93°, β = 90.93°, γ = 118.91°
Fractional coordinates of all 20 atoms:
Tb1 0.038 0.962 0.750
Tb2 0.962 0.038 0.250
Y1 0.211 0.317 0.557
Y2 0.317 0.211 0.057
Y3 0.683 0.789 0.943
Y4 0.789 0.683 0.443
Tm1 0.044 0.461 0.297
Tm2 0.124 0.789 0.055
Tm3 0.211 0.876 0.445
Tm4 0.267 0.534 0.911
Tm5 0.461 0.044 0.797
Tm6 0.466 0.733 0.589
Tm7 0.534 0.267 0.411
Tm8 0.539 0.956 0.203
Tm9 0.733 0.466 0.089
Tm10 0.789 0.124 0.555
Tm11 0.876 0.211 0.945
Tm12 0.956 0.539 0.703
Sc1 0.442 0.558 0.250
Sc2 0.558 0.442 0.750

Output
- calculated volume (Å³/cell) = 611.5
- ΔE_f (eV per formula unit) = 1.289
- density (g cm⁻³) = 7.578


## TlFe4Pd15 (PBE)

Data for a geometry-optimized TlFe4Pd15 structure.

a = 3.950 Å, b = 3.950 Å, c = 19.480 Å
α = 90.00°, β = 90.00°, γ = 90.00°
Fractional coordinates of all 20 atoms:
Tl1 0.000 0.000 0.000
Fe1 0.000 0.000 0.206
Fe2 0.000 0.000 0.401
Fe3 0.000 0.000 0.599
Fe4 0.000 0.000 0.794
Pd1 0.000 0.500 0.111
Pd2 0.000 0.500 0.305
Pd3 0.000 0.500 0.500
Pd4 0.000 0.500 0.695
Pd5 0.000 0.500 0.889
Pd6 0.500 0.000 0.111
Pd7 0.500 0.000 0.305
Pd8 0.500 0.000 0.500
Pd9 0.500 0.000 0.695
Pd10 0.500 0.000 0.889
Pd11 0.500 0.500 0.000
Pd12 0.500 0.500 0.208
Pd13 0.500 0.500 0.403
Pd14 0.500 0.500 0.597
Pd15 0.500 0.500 0.792

Output
- calculated volume (Å³/cell) = 303.9
- ΔE_f (eV per formula unit) = -2.171
- density (g cm⁻³) = 11.061


## Pr6Er5Th2 (PBE)

Data for a geometry-optimized Pr6Er5Th2 structure.

a = 11.798 Å, b = 20.573 Å, c = 3.655 Å
α = 90.00°, β = 90.00°, γ = 90.00°
Fractional coordinates of all 26 atoms:
Pr1 0.066 0.074 0.000
Pr2 0.079 0.363 0.000
Pr3 0.177 0.629 0.500
Pr4 0.323 0.129 0.500
Pr5 0.421 0.863 0.000
Pr6 0.434 0.574 0.000
Pr7 0.566 0.426 0.000
Pr8 0.579 0.137 0.000
Pr9 0.677 0.871 0.500
Pr10 0.823 0.371 0.500
Pr11 0.921 0.637 0.000
Pr12 0.934 0.926 0.000
Er1 0.000 0.500 0.500
Er2 0.089 0.220 0.500
Er3 0.195 0.935 0.500
Er4 0.305 0.435 0.500
Er5 0.411 0.720 0.500
Er6 0.500 0.000 0.500
Er7 0.589 0.280 0.500
Er8 0.695 0.565 0.500
Er9 0.805 0.065 0.500
Er10 0.911 0.780 0.500
Th1 0.171 0.779 0.000
Th2 0.329 0.279 0.000
Th3 0.671 0.721 0.000
Th4 0.829 0.221 0.000

Output
- calculated volume (Å³/cell) = 887.1
- ΔE_f (eV per formula unit) = 1.670
- density (g cm⁻³) = 8.033